First-principles (PBE-GGA) data for a relaxed KCr3Pt crystal, as listed in the Alexandria database.

Output
- DOS(E_F) (states/eV/f.u.) = 4.8
- polymorph energy (0 for the lowest one) (meV per atom) = 1624
- calculated volume (Å³ per atom) = 14.4
- space-group type = Pm-3m (221)
- total energy (eV/atom) = -4.61
- ΔH_f (0 K) (eV/atom) = 2.597

a b c (Å): 4.158 4.158 4.158
angles (deg): 90.00 90.00 90.00
Sites, in units of the cell vectors:
Cr  0.000  0.500  0.000
Cr  0.000  0.000  0.500
Cr  0.500  0.000  0.000
K  0.000  0.000  0.000
Pt  0.500  0.500  0.500

=====

First-principles (PBE-GGA) data for a relaxed PmAl2Cu3 crystal, as listed in the Alexandria database.

Output
- DOS(E_F) (states/eV/f.u.) = 3.1
- polymorph energy (0 for the lowest one) (meV per atom) = 0
- calculated volume (Å³ per atom) = 17.1
- space-group type = Cmcm (63)
- total energy (eV/atom) = -4.43
- ΔH_f (0 K) (eV/atom) = -0.338

a b c (Å): 5.269 6.297 6.297
angles (deg): 101.06 90.00 90.00
Sites, in units of the cell vectors:
Pm  0.250  0.315  0.315
Pm  0.750  0.685  0.685
Al  0.500  0.788  0.212
Al  0.000  0.788  0.212
Al  0.000  0.212  0.788
Al  0.500  0.212  0.788
Cu  0.750  0.457  0.105
Cu  0.750  0.105  0.457
Cu  0.250  0.543  0.895
Cu  0.750  0.062  0.062
Cu  0.250  0.938  0.938
Cu  0.250  0.895  0.543

=====

First-principles (PBE-GGA) data for a relaxed Ca3Hg4Pb2 crystal, as listed in the Alexandria database.

Output
- DOS(E_F) (states/eV/f.u.) = 3.0
- polymorph energy (0 for the lowest one) (meV per atom) = 0
- calculated volume (Å³ per atom) = 27.8
- space-group type = C2/m (12)
- total energy (eV/atom) = -2.05
- ΔH_f (0 K) (eV/atom) = -0.423

a b c (Å): 5.051 6.241 9.685
angles (deg): 113.82 90.00 113.87
Sites, in units of the cell vectors:
Ca  0.664  0.328  0.671
Ca  0.000  0.000  0.000
Ca  0.336  0.672  0.329
Hg  0.697  0.395  0.017
Hg  0.303  0.605  0.983
Hg  0.912  0.824  0.572
Hg  0.088  0.176  0.428
Pb  0.608  0.215  0.268
Pb  0.392  0.785  0.732

=====

First-principles (PBE-GGA) data for a relaxed Sm6Dy5Pu crystal, as listed in the Alexandria database.

Output
- DOS(E_F) (states/eV/f.u.) = 22.1
- calculated volume (Å³ per atom) = 32.2
- space-group type = Cmmm (65)
- total energy (eV/atom) = -5.43
- ΔH_f (0 K) (eV/atom) = 0.046

a b c (Å): 5.057 8.000 11.280
angles (deg): 81.85 63.34 71.58
Site moments in Bohr magnetons follow the coordinates.
Sites, in units of the cell vectors:
Pu  0.000  0.000  0.000  5.59
Sm  0.587  0.330  0.248  0.01
Sm  0.083  0.330  0.752  0.01
Sm  0.748  0.000  0.752  0.04
Sm  0.252  0.000  0.248  0.04
Sm  0.917  0.670  0.248  0.01
Sm  0.413  0.670  0.752  0.01
Dy  0.167  0.666  0.500  -0.09
Dy  0.335  0.329  0.000  0.08
Dy  0.500  0.000  0.500  -0.05
Dy  0.665  0.671  0.000  0.08
Dy  0.833  0.334  0.500  -0.09

=====

First-principles (PBE-GGA) data for a relaxed CsScBe2F8 crystal, as listed in the Alexandria database.

Output
- DOS(E_F) (states/eV/f.u.) = 0.0
- calculated volume (Å³ per atom) = 16.2
- space-group type = R-3 (148)
- total energy (eV/atom) = -5.93
- E_form (uncorrected) (eV/f.u.) = -41.58

a b c (Å): 5.157 5.157 8.936
angles (deg): 73.23 73.23 60.00
Site moments in Bohr magnetons follow the coordinates.
Sites, in units of the cell vectors:
Cs  0.500  0.500  0.500  0.01
Sc  0.000  0.000  0.000  0.00
Be  0.263  0.263  0.211  0.00
Be  0.737  0.737  0.789  0.00
F  0.204  0.204  0.389  0.05
F  0.599  0.223  0.141  0.00
F  0.796  0.796  0.611  0.05
F  0.037  0.599  0.141  0.00
F  0.963  0.401  0.859  0.00
F  0.223  0.037  0.141  0.00
F  0.777  0.963  0.859  0.00
F  0.401  0.777  0.859  0.00

=====

First-principles (PBE-GGA) data for a relaxed Sb2Pd17 crystal, as listed in the Alexandria database.

Output
- DOS(E_F) (states/eV/f.u.) = 24.9
- calculated volume (Å³ per atom) = 17.3
- space-group type = R-3m (166)
- total energy (eV/atom) = -5.03
- E_form (uncorrected) (eV/f.u.) = 0.92

a b c (Å): 6.984 6.984 6.984
angles (deg): 80.91 80.91 80.91
Sites, in units of the cell vectors:
Sb  0.292  0.292  0.292
Sb  0.708  0.708  0.708
Pd  0.664  0.664  0.173
Pd  0.173  0.664  0.664
Pd  0.901  0.901  0.901
Pd  0.099  0.099  0.099
Pd  0.000  0.000  0.500
Pd  0.000  0.500  0.000
Pd  0.500  0.000  0.000
Pd  0.334  0.666  0.000
Pd  0.666  0.000  0.334
Pd  0.000  0.334  0.666
Pd  0.666  0.334  0.000
Pd  0.334  0.000  0.666
Pd  0.000  0.666  0.334
Pd  0.827  0.336  0.336
Pd  0.336  0.336  0.827
Pd  0.336  0.827  0.336
Pd  0.664  0.173  0.664